CsHg2Pb2: relaxed, PBE.

a b c (Å): 9.790 9.790 3.522
angles (deg): 90.00 90.00 90.00
Space group P4/mbm (No. 127)
One atom of each set of equivalent atoms:
1 Cs 0.000 0.000 0.000 x2
2 Hg 0.166 0.334 0.500 x4
3 Pb 0.124 0.624 0.000 x4

Values from the calculation:
calculated volume: 337.5 Å³ per cell
formation energy from the elements: -51 meV per atom


Sr2LiZn3Sn4: relaxed, PBE.

a b c (Å): 4.633 4.633 11.653
angles (deg): 90.00 90.00 90.00
Space group P-4m2 (No. 115)
One atom of each set of equivalent atoms:
1 Sr 0.000 0.500 0.244 x2
2 Li 0.500 0.500 0.000 x1
3 Zn 0.000 0.000 0.000 x1
4 Zn 0.000 0.500 0.643 x2
5 Sn 0.000 0.000 0.500 x1
6 Sn 0.000 0.500 0.869 x2
7 Sn 0.500 0.500 0.500 x1

Values from the calculation:
calculated volume: 250.1 Å³ per cell
formation energy from the elements: -407 meV per atom


RbSrBeTc2: relaxed, PBE.

a b c (Å): 4.430 4.430 5.655
angles (deg): 90.00 90.00 90.00
Space group P4/mmm (No. 123)
One atom of each set of equivalent atoms:
1 Rb 0.000 0.000 0.000 x1
2 Sr 0.500 0.500 0.000 x1
3 Be 0.500 0.500 0.500 x1
4 Tc 0.000 0.500 0.500 x2

Values from the calculation:
calculated volume: 111.0 Å³ per cell
formation energy from the elements: 1176 meV per atom


Question: calculated volume of number 2 (Sr2LiZn3Sn4)?
Answer: 250.1 Å³ per cell


Question: The lowest formation energy from the elements belongs to which entry?
Answer: Sr2LiZn3Sn4


Question: Look up the calculated volume of the second one.
Answer: 250.1 Å³ per cell


What did the first record say?
CsHg2Pb2: relaxed, PBE.

a b c (Å): 9.790 9.790 3.522
angles (deg): 90.00 90.00 90.00
Space group P4/mbm (No. 127)
One atom of each set of equivalent atoms:
1 Cs 0.000 0.000 0.000 x2
2 Hg 0.166 0.334 0.500 x4
3 Pb 0.124 0.624 0.000 x4

Values from the calculation:
calculated volume: 337.5 Å³ per cell
formation energy from the elements: -51 meV per atom